A relaxed structure of La5Ho2Ge4. Source: the Alexandria database, functional PBE.

Summary:
The space group is C2/m, No. 12. As for the total energy: -55.71 eV/cell.

abc: 3.887 8.529 13.318
angles: 124.83 98.39 90.00
Fractional coordinates of all 11 atoms:
1 La 0.100 0.771 0.200
2 La 0.900 0.229 0.800
3 La 0.162 0.355 0.325
4 La 0.500 0.000 0.000
5 La 0.838 0.645 0.675
6 Ho 0.733 0.806 0.466
7 Ho 0.267 0.194 0.534
8 Ge 0.605 0.494 0.210
9 Ge 0.970 0.673 0.940
10 Ge 0.395 0.506 0.790
11 Ge 0.030 0.327 0.060

A relaxed structure of Sm6Tc2Ag. Source: the Alexandria database, functional PBE.

Summary:
The space group is Immm, No. 71. As for the total energy: -104.77 eV/cell.

abc: 8.643 8.643 8.643
angles: 106.55 111.12 110.79
Fractional coordinates of all 18 atoms:
1 Sm 0.524 0.714 0.810
2 Sm 0.476 0.286 0.190
3 Sm 0.097 0.286 0.810
4 Sm 0.903 0.714 0.190
5 Sm 0.792 0.776 0.568
6 Sm 0.208 0.224 0.432
7 Sm 0.208 0.776 0.984
8 Sm 0.792 0.224 0.016
9 Sm 0.708 0.394 0.686
10 Sm 0.292 0.606 0.314
11 Sm 0.292 0.978 0.686
12 Sm 0.708 0.022 0.314
13 Tc 0.500 0.385 0.885
14 Tc 0.500 0.615 0.115
15 Tc 0.624 0.000 0.624
16 Tc 0.376 0.000 0.376
17 Ag 0.000 0.500 0.500
18 Ag 0.000 0.000 0.000

A relaxed structure of Ac12TbPb6. Source: the Alexandria database, functional PBE.

Summary:
The space group is R-3, No. 148. As for the total energy: -79.14 eV/cell.

abc: 9.954 9.954 9.954
angles: 107.80 107.80 107.80
Fractional coordinates of all 19 atoms:
1 Ac 0.894 0.651 0.567
2 Ac 0.567 0.894 0.651
3 Ac 0.651 0.567 0.894
4 Ac 0.106 0.349 0.433
5 Ac 0.433 0.106 0.349
6 Ac 0.349 0.433 0.106
7 Ac 0.019 0.879 0.326
8 Ac 0.121 0.674 0.981
9 Ac 0.674 0.981 0.121
10 Ac 0.981 0.121 0.674
11 Ac 0.879 0.326 0.019
12 Ac 0.326 0.019 0.879
13 Tb 0.000 0.000 0.000
14 Pb 0.658 0.786 0.344
15 Pb 0.656 0.342 0.214
16 Pb 0.214 0.656 0.342
17 Pb 0.342 0.214 0.656
18 Pb 0.344 0.658 0.786
19 Pb 0.786 0.344 0.658

A relaxed structure of LaMgAl2Au5. Source: the Alexandria database, functional PBE.

Summary:
The space group is P4/mmm, No. 123. As for the total energy: -34.46 eV/cell.

abc: 4.932 4.932 7.838
angles: 90.00 90.00 90.00
Fractional coordinates of all 9 atoms:
1 La 0.000 0.000 0.500
2 Mg 0.000 0.000 0.000
3 Al 0.500 0.500 0.164
4 Al 0.500 0.500 0.836
5 Au 0.000 0.500 0.242
6 Au 0.500 0.000 0.242
7 Au 0.000 0.500 0.758
8 Au 0.500 0.000 0.758
9 Au 0.500 0.500 0.500

A relaxed structure of PrZn9Sn2. Source: the Alexandria database, functional PBE.

Summary:
The space group is R-3m, No. 166. As for the total energy: -25.45 eV/cell.

abc: 5.571 5.571 8.919
angles: 71.80 71.80 60.00
Fractional coordinates of all 12 atoms:
1 Pr 0.000 0.000 0.000
2 Zn 0.668 0.668 0.995
3 Zn 0.332 0.332 0.005
4 Zn 0.500 0.500 0.500
5 Zn 0.416 0.416 0.249
6 Zn 0.918 0.416 0.249
7 Zn 0.416 0.918 0.249
8 Zn 0.584 0.584 0.751
9 Zn 0.584 0.082 0.751
10 Zn 0.082 0.584 0.751
11 Sn 0.863 0.863 0.411
12 Sn 0.137 0.137 0.589

A relaxed structure of RbReNi. Source: the Alexandria database, functional PBE.

Summary:
The space group is Pnma, No. 62. Its polymorph energy (0 for the lowest one) is 816 meV/atom.

abc: 5.390 4.342 10.434
angles: 90.00 90.00 90.00
Fractional coordinates of all 12 atoms:
1 Re 0.001 0.250 0.819
2 Re 0.499 0.750 0.319
3 Re 0.999 0.750 0.181
4 Re 0.501 0.250 0.681
5 Rb 0.999 0.250 0.390
6 Rb 0.501 0.750 0.890
7 Rb 0.001 0.750 0.610
8 Rb 0.499 0.250 0.110
9 Ni 0.500 0.250 0.445
10 Ni 0.000 0.750 0.945
11 Ni 0.500 0.750 0.555
12 Ni 0.000 0.250 0.055

Copy entry 6 word for word.
A relaxed structure of RbReNi. Source: the Alexandria database, functional PBE.

Summary:
The space group is Pnma, No. 62. Its polymorph energy (0 for the lowest one) is 816 meV/atom.

abc: 5.390 4.342 10.434
angles: 90.00 90.00 90.00
Fractional coordinates of all 12 atoms:
1 Re 0.001 0.250 0.819
2 Re 0.499 0.750 0.319
3 Re 0.999 0.750 0.181
4 Re 0.501 0.250 0.681
5 Rb 0.999 0.250 0.390
6 Rb 0.501 0.750 0.890
7 Rb 0.001 0.750 0.610
8 Rb 0.499 0.250 0.110
9 Ni 0.500 0.250 0.445
10 Ni 0.000 0.750 0.945
11 Ni 0.500 0.750 0.555
12 Ni 0.000 0.250 0.055